BiAsAu2 (PBE, relaxed); energy relative to the elements = 0.0887 eV per atom; VASP energy = -14.730 eV/f.u.; spin magnetization = 0.000 μB per atom
1.0
2.167 1.251 5.795
-2.167 1.251 5.795
0.000 -2.502 5.795
Bi As Au
1 1 2
Cartesian
0.000 0.000 0.000
0.000 0.000 2.986
0.000 0.000 9.909
0.000 0.000 13.322


MnZnMoOs (PBE, relaxed); energy relative to the elements = 0.1357 eV per atom; VASP energy = -31.961 eV/f.u.; spin magnetization = 0.239 μB per atom
1.0
0.000 3.029 3.029
3.029 0.000 3.029
3.029 3.029 0.000
Mn Zn Mo Os
1 1 1 1
Cartesian
0.000 0.000 0.000
1.514 1.514 1.514
4.543 4.543 4.543
3.029 3.029 3.029


Hf6Zn3Ni (PBE, relaxed); energy relative to the elements = 0.0240 eV per atom; VASP energy = -69.084 eV/f.u.; spin magnetization = 0.000 μB per atom
1.0
5.473 0.000 0.000
0.000 7.722 0.000
-5.195 0.000 9.339
Hf Zn Ni
12 6 2
Cartesian
-2.018 1.296 4.166
-4.615 2.565 8.836
-0.396 5.286 4.113
-2.993 6.297 8.782
0.948 0.465 2.423
-1.649 3.397 7.093
1.927 4.326 2.247
-0.670 7.258 6.917
3.271 1.425 0.557
0.673 2.436 5.227
4.893 5.157 0.503
2.295 6.426 5.173
0.000 0.000 0.000
-2.597 3.861 4.670
-3.139 0.867 7.055
-0.542 2.994 2.386
0.820 4.728 6.954
3.417 6.855 2.284
0.139 0.000 4.670
2.736 3.861 0.000


NaTlF3 (PBE, relaxed); VASP energy = -20.061 eV/f.u.; energy relative to the elements, uncorrected = -2.15 eV per atom; spin magnetization = 0.000 μB per atom
1.0
7.825 0.000 0.000
0.000 5.408 0.000
-4.156 0.000 7.187
Na Tl F
4 4 12
Cartesian
-0.378 1.281 0.695
-2.456 1.423 4.288
6.125 3.985 2.899
4.047 4.127 6.493
0.993 1.059 4.035
3.071 1.645 0.441
0.598 3.763 6.746
2.677 4.349 3.152
-0.856 0.612 2.780
-2.934 2.092 6.373
-0.454 2.734 4.485
1.625 5.377 0.891
-0.580 0.150 5.731
1.498 2.554 2.137
2.171 2.854 5.050
4.249 5.258 1.456
2.045 0.030 6.296
4.123 2.673 2.702
6.604 3.316 0.814
4.525 4.796 4.408


Look up the spin magnetization of the fourth one. 0.000 μB per atom


What is the spin magnetization in the first record? 0.000 μB per atom